Crystalline AcCeMg2In4 at its relaxed geometry, computed with PBE-GGA.

Results
* electronic total energy: -3.31 eV/atom
* formation energy from the elements: -0.283 eV/atom
* SG: R-3m, No. 166
* D(E_F): 8.8 states/eV per cell
* volume: 220 Å³ per cell

Cell: 9.4403 9.4403 9.4403 Å, 32.83 32.83 32.83°
Positions (direct):
Ac  0.0000  0.0000  0.0000
Ce  0.5000  0.5000  0.5000
Mg  0.2479  0.2479  0.2479
Mg  0.7521  0.7521  0.7521
In  0.1273  0.1273  0.1273
In  0.3811  0.3811  0.3811
In  0.6189  0.6189  0.6189
In  0.8727  0.8727  0.8727